# meta-GGA SCAN Ca3Se5, PBEsol geometry
# ΔE_f (raw) (eV/atom): -1.354
# M_tot (μB per cell): 0.00
# Electronic total energy (eV per cell): -140.2
# Space-group type: Cmmm
data_Ca3Se5
_chemical_formula_sum 'Ca3 Se5'
_symmetry_space_group_name_H-M 'P 1'
_symmetry_Int_Tables_number 1
_cell_length_a 5.7473
_cell_length_b 5.7473
_cell_length_c 5.6554
_cell_angle_alpha 90.00
_cell_angle_beta 90.00
_cell_angle_gamma 98.92
loop_
_symmetry_equiv_pos_as_xyz
'x,y,z'
loop_
_atom_site_label
_atom_site_type_symbol
_atom_site_fract_x
_atom_site_fract_y
_atom_site_fract_z
Se1 Se 0.0000 0.5000 0.0000
Se2 Se 0.0000 0.0000 0.0000
Se3 Se 0.5000 0.0000 0.0000
Se4 Se 0.2925 0.2925 0.5000
Se5 Se 0.7075 0.7075 0.5000
Ca1 Ca 0.2138 0.7862 0.5000
Ca2 Ca 0.5000 0.5000 0.0000
Ca3 Ca 0.7862 0.2138 0.5000

# meta-GGA SCAN LaMnCd2, PBEsol geometry
# M_tot (μB per cell): 4.24
# Electronic total energy (eV per cell): -123.0
# Space-group type: P4/mmm
data_LaMnCd2
_chemical_formula_sum 'La1 Mn1 Cd2'
_symmetry_space_group_name_H-M 'P 1'
_symmetry_Int_Tables_number 1
_cell_length_a 3.3503
_cell_length_b 3.3503
_cell_length_c 7.8071
_cell_angle_alpha 90.00
_cell_angle_beta 90.00
_cell_angle_gamma 90.00
loop_
_symmetry_equiv_pos_as_xyz
'x,y,z'
loop_
_atom_site_label
_atom_site_type_symbol
_atom_site_fract_x
_atom_site_fract_y
_atom_site_fract_z
Cd1 Cd 0.0000 0.0000 0.3046
Cd2 Cd 0.0000 0.0000 0.6954
Mn1 Mn 0.5000 0.5000 0.5000
La1 La 0.5000 0.5000 0.0000

# meta-GGA SCAN SrTc2PbF, PBEsol geometry
# ΔE_f (raw) (eV/atom): 0.982
# M_tot (μB per cell): 5.71
# Electronic total energy (eV per cell): -166.8
# Space-group type: P4/mmm
data_SrTc2PbF
_chemical_formula_sum 'Sr1 Tc2 Pb1 F1'
_symmetry_space_group_name_H-M 'P 1'
_symmetry_Int_Tables_number 1
_cell_length_a 5.0674
_cell_length_b 5.0674
_cell_length_c 6.4874
_cell_angle_alpha 90.00
_cell_angle_beta 90.00
_cell_angle_gamma 90.00
loop_
_symmetry_equiv_pos_as_xyz
'x,y,z'
loop_
_atom_site_label
_atom_site_type_symbol
_atom_site_fract_x
_atom_site_fract_y
_atom_site_fract_z
Pb1 Pb 0.0000 0.0000 0.0000
Sr1 Sr 0.0000 0.0000 0.5000
F1 F 0.5000 0.5000 0.5000
Tc1 Tc 0.5000 0.0000 0.0000
Tc2 Tc 0.0000 0.5000 0.0000